1.
A plane-wave DFT calculation with GGA-PBE was carried out for a geometry-optimized AgHPt structure.

```
data_AgHPt
_cell_length_a 5.106
_cell_length_b 5.106
_cell_length_c 5.106
_cell_angle_alpha 34.12
_cell_angle_beta 34.12
_cell_angle_gamma 34.12
_symmetry_space_group_name_H-M 'P 1'
_symmetry_Int_Tables_number 1
loop_
_symmetry_equiv_pos_as_xyz
'x,y,z'
loop_
_atom_site_label
_atom_site_type_symbol
_atom_site_fract_x
_atom_site_fract_y
_atom_site_fract_z
Ag1 Ag 0.000 0.000 0.000
H1 H 0.198 0.198 0.198
Pt1 Pt 0.496 0.496 0.496
```

Properties
total DFT energy (no corrections)	-4.075	eV per atom
volume	37	Å³/f.u.
E above lowest polymorph	9	meV/atom

=====

2.
A plane-wave DFT calculation with GGA-PBE was carried out for a geometry-optimized CaLaSc2In structure.

```
data_CaLaSc2In
_cell_length_a 5.517
_cell_length_b 5.517
_cell_length_c 6.080
_cell_angle_alpha 90.00
_cell_angle_beta 90.00
_cell_angle_gamma 90.00
_symmetry_space_group_name_H-M 'P 1'
_symmetry_Int_Tables_number 1
loop_
_symmetry_equiv_pos_as_xyz
'x,y,z'
loop_
_atom_site_label
_atom_site_type_symbol
_atom_site_fract_x
_atom_site_fract_y
_atom_site_fract_z
Ca1 Ca 0.000 0.000 0.000
La1 La 0.500 0.500 0.000
Sc1 Sc 0.000 0.500 0.500
Sc2 Sc 0.500 0.000 0.500
In1 In 0.500 0.500 0.500
```

Properties
total DFT energy (no corrections)	-4.136	eV per atom
energy of formation	330	meV per atom
volume	185	Å³/f.u.

=====

3.
A plane-wave DFT calculation with GGA-PBE was carried out for a geometry-optimized Nd9YEr2 structure.

```
data_Nd9YEr2
_cell_length_a 5.151
_cell_length_b 5.151
_cell_length_c 15.459
_cell_angle_alpha 90.00
_cell_angle_beta 90.00
_cell_angle_gamma 90.00
_symmetry_space_group_name_H-M 'P 1'
_symmetry_Int_Tables_number 1
loop_
_symmetry_equiv_pos_as_xyz
'x,y,z'
loop_
_atom_site_label
_atom_site_type_symbol
_atom_site_fract_x
_atom_site_fract_y
_atom_site_fract_z
Nd1 Nd 0.000 0.000 0.000
Nd2 Nd 0.000 0.000 0.334
Nd3 Nd 0.000 0.000 0.666
Nd4 Nd 0.000 0.500 0.168
Nd5 Nd 0.000 0.500 0.500
Nd6 Nd 0.000 0.500 0.832
Nd7 Nd 0.500 0.000 0.168
Nd8 Nd 0.500 0.000 0.500
Nd9 Nd 0.500 0.000 0.832
Y1 Y 0.500 0.500 0.000
Er1 Er 0.500 0.500 0.334
Er2 Er 0.500 0.500 0.666
```

Properties
total DFT energy (no corrections)	-4.861	eV per atom
energy of formation	14	meV per atom
volume	410	Å³/f.u.

=====

4.
A plane-wave DFT calculation with GGA-PBE was carried out for a geometry-optimized K2PaPbS4 structure.

```
data_K2PaPbS4
_cell_length_a 7.397
_cell_length_b 4.181
_cell_length_c 7.701
_cell_angle_alpha 90.00
_cell_angle_beta 107.89
_cell_angle_gamma 90.00
_symmetry_space_group_name_H-M 'P 1'
_symmetry_Int_Tables_number 1
loop_
_symmetry_equiv_pos_as_xyz
'x,y,z'
loop_
_atom_site_label
_atom_site_type_symbol
_atom_site_fract_x
_atom_site_fract_y
_atom_site_fract_z
K1 K 0.000 0.000 0.000
K2 K 0.500 0.500 0.000
Pa1 Pa 0.000 0.500 0.500
Pb1 Pb 0.500 0.000 0.500
S1 S 0.215 0.000 0.703
S2 S 0.235 0.500 0.291
S3 S 0.765 0.500 0.709
S4 S 0.785 0.000 0.297
```

Properties
formation energy without anion corrections	-1.28	eV/atom
total DFT energy (no corrections)	-5.271	eV per atom
volume	227	Å³/f.u.

=====

5.
A plane-wave DFT calculation with GGA-PBE was carried out for a geometry-optimized HoGePt structure.

```
data_HoGePt
_cell_length_a 3.989
_cell_length_b 5.928
_cell_length_c 6.032
_cell_angle_alpha 66.61
_cell_angle_beta 89.78
_cell_angle_gamma 89.85
_symmetry_space_group_name_H-M 'P 1'
_symmetry_Int_Tables_number 1
loop_
_symmetry_equiv_pos_as_xyz
'x,y,z'
loop_
_atom_site_label
_atom_site_type_symbol
_atom_site_fract_x
_atom_site_fract_y
_atom_site_fract_z
Ho1 Ho 0.249 0.211 0.099
Ho2 Ho 0.751 0.789 0.901
Ge1 Ge 0.251 0.183 0.608
Ge2 Ge 0.749 0.817 0.392
Pt1 Pt 0.250 0.609 0.283
Pt2 Pt 0.750 0.391 0.717
```

Properties
total DFT energy (no corrections)	-5.923	eV per atom
energy of formation	-844	meV per atom
volume	65	Å³/f.u.

=====

6.
A plane-wave DFT calculation with GGA-PBE was carried out for a geometry-optimized HgSbCl2F structure.

```
data_HgSbCl2F
_cell_length_a 5.406
_cell_length_b 5.406
_cell_length_c 4.456
_cell_angle_alpha 90.00
_cell_angle_beta 90.00
_cell_angle_gamma 90.00
_symmetry_space_group_name_H-M 'P 1'
_symmetry_Int_Tables_number 1
loop_
_symmetry_equiv_pos_as_xyz
'x,y,z'
loop_
_atom_site_label
_atom_site_type_symbol
_atom_site_fract_x
_atom_site_fract_y
_atom_site_fract_z
Hg1 Hg 0.000 0.000 0.000
Sb1 Sb 0.500 0.500 0.500
Cl1 Cl 0.000 0.500 0.500
Cl2 Cl 0.500 0.000 0.500
F1 F 0.500 0.500 0.000
```

Properties
formation energy without anion corrections	-0.91	eV/atom
total DFT energy (no corrections)	-2.912	eV per atom
volume	130	Å³/f.u.

=====

Question: volume of number 3 (Nd9YEr2)?
Answer: 410 Å³/f.u.

=====

What did the second record say?
A plane-wave DFT calculation with GGA-PBE was carried out for a geometry-optimized CaLaSc2In structure.

```
data_CaLaSc2In
_cell_length_a 5.517
_cell_length_b 5.517
_cell_length_c 6.080
_cell_angle_alpha 90.00
_cell_angle_beta 90.00
_cell_angle_gamma 90.00
_symmetry_space_group_name_H-M 'P 1'
_symmetry_Int_Tables_number 1
loop_
_symmetry_equiv_pos_as_xyz
'x,y,z'
loop_
_atom_site_label
_atom_site_type_symbol
_atom_site_fract_x
_atom_site_fract_y
_atom_site_fract_z
Ca1 Ca 0.000 0.000 0.000
La1 La 0.500 0.500 0.000
Sc1 Sc 0.000 0.500 0.500
Sc2 Sc 0.500 0.000 0.500
In1 In 0.500 0.500 0.500
```

Properties
total DFT energy (no corrections)	-4.136	eV per atom
energy of formation	330	meV per atom
volume	185	Å³/f.u.

=====

Question: Look up the volume of the first one.
Answer: 37 Å³/f.u.

=====

Question: Which value of total DFT energy (no corrections) does entry 5 give?
Answer: -5.923 eV per atom